A plane-wave DFT calculation with PBE was carried out for KLi2TmBr6 after structural relaxation.

Calculated values
ΔE_f (raw) = -1.69 eV/atom
Calculated volume = 30.308 Å³ per atom
Crystal system = trigonal
Space group = R3

Cell: 7.2543 7.2521 7.8615 Å, 62.51 62.52 60.00°
Fractional positions:
K  0.8057  0.8056  0.5831
Li  0.5198  0.5198  0.4408
Li  0.0096  0.0097  0.9706
Tm  0.3235  0.3234  0.0297
Br  0.5849  0.2605  0.2366
Br  0.2606  0.9178  0.2369
Br  0.9180  0.5850  0.2366
Br  0.3438  0.7357  0.7603
Br  0.7355  0.1603  0.7603
Br  0.1603  0.3438  0.7604